[1]
5
Lattice="3.946 0.000 0.000 0.000 3.946 0.000 0.000 0.000 3.950" Properties=species:S:1:pos:R:3 comment="KTcN3, optimized geometry, DFT PBE" dft_energy_ev_per_atom=-6.77 pbc="T T T"
K 0.000 0.000 0.000
Tc 1.973 1.973 1.985
N 0.000 1.973 1.988
N 1.973 0.000 1.988
N 1.973 1.973 0.013

=====

[2]
8
Lattice="-2.886 2.886 4.329 2.886 -2.886 4.329 2.886 2.886 -4.329" Properties=species:S:1:pos:R:3 comment="K2TcWN4, optimized geometry, DFT PBE" dft_energy_ev_per_atom=-7.64 pbc="T T T"
K 0.000 0.000 0.000
K 0.000 2.886 2.164
Tc 2.886 0.000 2.164
W 0.000 0.000 4.329
N 1.459 -0.553 3.264
N 2.333 1.427 1.065
N 1.427 3.440 -1.065
N 0.553 1.459 5.393

=====

[3]
8
Lattice="-2.927 2.927 4.380 2.927 -2.927 4.380 2.927 2.927 -4.380" Properties=species:S:1:pos:R:3 comment="K2ZrWN4, optimized geometry, DFT PBE" dft_energy_ev_per_atom=-7.92 pbc="T T T"
K 0.000 0.000 0.000
K 0.000 2.927 2.190
Zr 2.927 0.000 2.190
W 0.000 0.000 4.380
N 1.368 -0.736 3.325
N 2.191 1.559 1.055
N 1.559 3.663 -1.055
N 0.736 1.368 5.435